1.
LaBe2BRu2: relaxed, PBE.

Results
Symmetry: P4/mmm
Formation energy from the elements (eV/atom): -0.373

Geometry as POSCAR:
```
LaBe2BRu2
1.0
-1.0766 -3.0640 2.5572
3.5571 -1.9377 -0.8241
2.3671 2.5978 4.1092
La Be B Ru
1 2 1 2
Direct
0.0000 0.0000 0.5000
0.5000 0.5000 0.7892
0.5000 0.5000 0.2108
0.0000 0.0000 0.0000
0.5000 0.0000 0.0000
0.0000 0.5000 0.0000
```

2.
LaBeSi2B: relaxed, PBE.

Results
Formation energy from raw total energies (eV/atom): 0.687
Symmetry: P4/mmm

Geometry as POSCAR:
```
LaBeSi2B
1.0
4.1431 0.0000 0.0000
0.0000 5.3576 0.0000
0.0000 0.0000 4.1431
Be Si B La
1 2 1 1
Direct
0.0000 0.0000 0.0000
0.0000 0.0000 0.5000
0.5000 0.0000 0.0000
0.5000 0.5000 0.5000
0.0000 0.5000 0.0000
```

3.
La2TaBeB: relaxed, PBE.

Results
Symmetry: P4/mmm
Formation energy from the elements (eV/atom): 1.017

Geometry as POSCAR:
```
La2TaBeB
1.0
-3.3360 3.9395 -2.1054
-3.4182 -2.0659 1.5506
0.4106 2.8871 4.7516
Be B La Ta
1 1 2 1
Direct
0.5000 0.5000 0.5000
0.0000 0.5000 0.0000
0.0000 0.0000 0.5000
0.5000 0.0000 0.0000
0.0000 0.0000 0.0000
```

4.
LaTa2BeB: relaxed, PBE.

Results
Symmetry: P4/mmm
Formation energy from the elements (eV/atom): 0.295

Geometry as POSCAR:
```
LaTa2BeB
1.0
-2.0673 1.9173 3.6793
2.4158 -1.8504 2.3216
2.9417 3.5761 -0.2107
Be B La Ta
1 1 1 2
Direct
0.0000 0.5000 0.0000
0.0000 0.0000 0.0000
0.5000 0.5000 0.5000
0.0000 0.0000 0.5000
0.5000 0.0000 0.0000
```

5.
LaTa2BeB: relaxed, PBE.

Results
Symmetry: P4/mmm
Formation energy from the elements (eV/atom): 0.579

Geometry as POSCAR:
```
LaTa2BeB
1.0
4.4024 0.0000 0.0000
0.0000 5.0986 0.0000
0.0000 0.0000 4.4024
Be B La Ta
1 1 1 2
Direct
0.5000 0.5000 0.5000
0.0000 0.0000 0.0000
0.0000 0.5000 0.0000
0.0000 0.0000 0.5000
0.5000 0.0000 0.0000
```

6.
LaBeZn2B: relaxed, PBE.

Results
Symmetry: P4/mmm
Formation energy from the elements (eV/atom): 0.294

Geometry as POSCAR:
```
LaBeZn2B
1.0
-1.3855 2.4064 3.4859
1.7799 -2.7164 2.5827
3.7799 2.3577 -0.1252
Be Zn B La
1 2 1 1
Direct
0.0000 0.0000 0.0000
0.0000 0.0000 0.5000
0.5000 0.0000 0.0000
0.0000 0.5000 0.0000
0.5000 0.5000 0.5000
```